[1]
The following is a PBE calculation of an optimized crystal structure of Ca2Al2GePt5, from Alexandria via LeMat-Bulk.

The structure in POSCAR format:
```
Ca2Al2GePt5
1.0
-2.7136 -2.0412 -0.7911
-1.5509 -1.7504 9.8363
-6.1558 8.0076 0.4544
Al Pt Ge Ca
4 10 2 4
direct
0.0000 0.3740 0.1260
0.0000 0.6260 0.8740
0.0000 0.1260 0.6260
0.0000 0.8740 0.3740
0.5000 0.2038 0.0565
0.5000 0.0000 0.5000
0.5000 0.5000 0.0000
0.5000 0.7962 0.9435
0.5000 0.9435 0.2038
0.5000 0.2962 0.5565
0.5000 0.5565 0.7038
0.5000 0.0565 0.7962
0.5000 0.7038 0.4435
0.5000 0.4435 0.2962
0.0000 0.5000 0.5000
0.0000 0.0000 0.0000
0.0000 0.3243 0.8243
0.0000 0.8243 0.6757
0.0000 0.1757 0.3243
0.0000 0.6757 0.1757
```

Results
For the total energy, the calculation gives -5.457 eV per atom. The calculation puts the volume at 17.8 Å³/atom.

[2]
The following is a PBE calculation of an optimized crystal structure of Ca2Al4GePt3, from Alexandria via LeMat-Bulk.

The structure in POSCAR format:
```
Ca2Al4GePt3
1.0
4.2906 0.0000 0.0000
0.0000 4.2906 0.0000
0.0000 0.0000 10.5058
Al Ca Pt Ge
4 2 3 1
direct
0.0000 0.0000 0.0000
0.5000 0.5000 0.0000
0.0000 0.5000 0.3649
0.5000 0.0000 0.6351
0.5000 0.0000 0.2531
0.0000 0.5000 0.7469
0.0000 0.0000 0.5000
0.0000 0.5000 0.1293
0.5000 0.0000 0.8707
0.5000 0.5000 0.5000
```

Results
For the total energy, the calculation gives -5.043 eV per atom. The calculation puts the volume at 19.3 Å³/atom.

[3]
The following is a PBE calculation of an optimized crystal structure of CaAlGe2Rh, from Alexandria via LeMat-Bulk.

The structure in POSCAR format:
```
CaAlGe2Rh
1.0
5.1281 0.0000 0.0000
0.0000 5.1281 0.0000
0.0000 0.0000 5.2555
Ge Al Ca Rh
2 1 1 1
direct
0.5000 0.0000 0.0000
0.0000 0.5000 0.0000
0.0000 0.0000 0.5000
0.0000 0.0000 0.0000
0.5000 0.5000 0.5000
```

Results
For the total energy, the calculation gives -2.940 eV per atom. The calculation puts the volume at 27.6 Å³/atom.

[4]
The following is a PBE calculation of an optimized crystal structure of CaAlGe2S6, from Alexandria via LeMat-Bulk.

The structure in POSCAR format:
```
CaAlGe2S6
1.0
7.3061 0.0919 0.0954
2.4712 8.3962 0.0913
2.4712 -0.2199 8.3938
Ge S Ca Al
4 12 2 2
direct
0.3175 0.7616 0.6147
0.6825 0.2384 0.3853
0.8175 0.6147 0.7616
0.1825 0.3853 0.2384
0.1617 0.9608 0.8164
0.4567 0.4296 0.2974
0.9567 0.2974 0.4296
0.5433 0.5704 0.7026
0.0603 0.6310 0.1309
0.8383 0.0392 0.1836
0.6617 0.8164 0.9608
0.4397 0.8691 0.3690
0.9397 0.3690 0.8691
0.0433 0.7026 0.5704
0.3383 0.1836 0.0392
0.5603 0.1309 0.6310
0.2500 0.8746 0.1254
0.7500 0.1254 0.8746
0.7500 0.8062 0.1938
0.2500 0.1938 0.8062
```

Results
The calculation puts the volume at 25.6 Å³/atom. The formation energy without anion corrections is -0.714 eV/atom.

[5]
The following is a PBE calculation of an optimized crystal structure of CaAlGe2Se6, from Alexandria via LeMat-Bulk.

The structure in POSCAR format:
```
CaAlGe2Se6
1.0
-1.7299 7.1495 -1.3672
-8.7253 1.1470 2.8143
2.3243 4.7333 7.5868
Se Ge Al Ca
12 4 2 2
direct
0.0622 0.6292 0.1207
0.0342 0.7050 0.5551
0.6539 0.8261 0.9532
0.8461 0.0468 0.1739
0.3461 0.1739 0.0468
0.4658 0.4449 0.2950
0.9658 0.2950 0.4449
0.5342 0.5551 0.7050
0.5622 0.1207 0.6292
0.1539 0.9532 0.8261
0.9378 0.3708 0.8793
0.4378 0.8793 0.3708
0.1911 0.3838 0.2379
0.3089 0.7621 0.6162
0.6911 0.2379 0.3838
0.8089 0.6162 0.7621
0.7500 0.8114 0.1886
0.2500 0.1886 0.8114
0.7500 0.1316 0.8684
0.2500 0.8684 0.1316
```

Results
The calculation puts the volume at 29.4 Å³/atom. The formation energy without anion corrections is -0.613 eV/atom.

[6]
The following is a PBE calculation of an optimized crystal structure of Ca2AlGeSe, from Alexandria via LeMat-Bulk.

The structure in POSCAR format:
```
Ca2AlGeSe
1.0
-4.9670 -2.6862 1.6685
1.4896 -0.0004 4.4339
-2.5462 5.2397 0.8559
Ca Al Se Ge
2 1 1 1
direct
0.0000 0.0000 0.5000
0.5000 0.0000 0.0000
0.0000 0.0000 0.0000
0.0000 0.5000 0.0000
0.5000 0.5000 0.5000
```

Results
The calculation puts the volume at 32.4 Å³/atom. The formation energy without anion corrections is 0.170 eV/atom.

[7]
The following is a PBE calculation of an optimized crystal structure of Sr2CaAlGe2, from Alexandria via LeMat-Bulk.

The structure in POSCAR format:
```
Sr2CaAlGe2
1.0
-4.5928 -5.9343 0.5107
2.7276 -2.5919 -5.5893
5.6880 0.9160 6.4122
Sr Ge Al Ca
4 4 2 2
direct
0.1446 0.3194 0.6387
0.8554 0.6806 0.3613
0.4942 0.8194 0.6387
0.5058 0.1806 0.3613
0.6194 0.4045 0.8090
0.3806 0.5955 0.1910
0.1896 0.9045 0.8090
0.8104 0.0955 0.1910
0.5000 0.7500 0.0000
0.5000 0.2500 0.0000
0.0000 0.2500 0.0000
0.0000 0.7500 0.0000
```

Results
For the total energy, the calculation gives -3.530 eV per atom. The calculation puts the volume at 29.5 Å³/atom.

[8]
The following is a PBE calculation of an optimized crystal structure of Ca2AlZn3Ge4, from Alexandria via LeMat-Bulk.

The structure in POSCAR format:
```
Ca2AlZn3Ge4
1.0
-2.1911 -0.5072 -3.7210
-1.9029 -3.5641 1.6063
-7.9103 5.9566 3.8461
Ge Zn Ca Al
4 3 2 1
direct
0.0000 0.0000 0.0000
0.5000 0.5000 0.0000
0.5000 0.0000 0.6351
0.0000 0.5000 0.3649
0.0000 0.0000 0.5000
0.5000 0.0000 0.8660
0.0000 0.5000 0.1340
0.5000 0.0000 0.2449
0.0000 0.5000 0.7551
0.5000 0.5000 0.5000
```

Results
For the total energy, the calculation gives -3.320 eV per atom. The calculation puts the volume at 20.1 Å³/atom.

[9]
The following is a PBE calculation of an optimized crystal structure of Ca2AlZn4Ge3, from Alexandria via LeMat-Bulk.

The structure in POSCAR format:
```
Ca2AlZn4Ge3
1.0
-3.8164 -1.7969 -0.1867
1.1818 -2.8134 2.9184
-3.5370 6.6927 7.8841
Zn Ge Ca Al
4 3 2 1
direct
0.0000 0.5000 0.3615
0.5000 0.5000 0.0000
0.5000 0.0000 0.6385
0.0000 0.0000 0.0000
0.5000 0.0000 0.8632
0.0000 0.0000 0.5000
0.0000 0.5000 0.1368
0.5000 0.0000 0.2461
0.0000 0.5000 0.7539
0.5000 0.5000 0.5000
```

Results
For the total energy, the calculation gives -3.004 eV per atom. The calculation puts the volume at 19.5 Å³/atom.

[10]
The following is a PBE calculation of an optimized crystal structure of CaAl2ZnGe, from Alexandria via LeMat-Bulk.

The structure in POSCAR format:
```
CaAl2ZnGe
1.0
-3.8155 3.1107 0.4416
-1.8922 -2.9299 4.2907
2.6478 2.8096 3.0862
Ge Al Zn Ca
1 2 1 1
direct
0.0000 0.0000 0.0000
0.5000 0.0000 0.0000
0.0000 0.0000 0.5000
0.5000 0.5000 0.5000
0.0000 0.5000 0.0000
```

Results
For the total energy, the calculation gives -2.753 eV per atom. The calculation puts the volume at 27.0 Å³/atom.

[11]
The following is a PBE calculation of an optimized crystal structure of Ca4Al2H, from Alexandria via LeMat-Bulk.

The structure in POSCAR format:
```
Ca4Al2H
1.0
4.7156 0.0000 0.0000
0.0000 4.7156 0.0000
-2.3578 -2.3578 8.5352
Ca H Al
4 1 2
direct
0.1798 0.1798 0.3597
0.8202 0.8202 0.6404
0.0000 0.5000 0.0000
0.5000 0.0000 0.0000
0.0000 0.0000 0.0000
0.3694 0.3694 0.7389
0.6306 0.6306 0.2611
```

Results
For the total energy, the calculation gives -2.841 eV per atom. The calculation puts the volume at 27.1 Å³/atom.

[12]
The following is a PBE calculation of an optimized crystal structure of Ca4AlH, from Alexandria via LeMat-Bulk.

The structure in POSCAR format:
```
Ca4AlH
1.0
-0.4906 6.0341 -0.7811
-0.7004 -0.0815 6.0633
9.9363 0.9581 1.1606
Ca Al H
8 2 2
direct
0.2785 0.2785 0.4532
0.7215 0.7215 0.5468
0.7215 0.7215 0.9532
0.2785 0.2785 0.0468
0.7599 0.1408 0.2500
0.8592 0.2401 0.7500
0.1408 0.7599 0.2500
0.2401 0.8592 0.7500
0.3905 0.3905 0.7500
0.6095 0.6095 0.2500
0.1326 0.1326 0.2500
0.8674 0.8674 0.7500
```

Results
For the total energy, the calculation gives -2.656 eV per atom. The calculation puts the volume at 30.9 Å³/atom.